! NbHRu2Pt PBE relaxed; values from VASP
! Distance to the lowest polymorph of the same formula, meV per atom: 8
&SYSTEM
  ibrav = 0, nat = 5, ntyp = 4
/
ATOMIC_SPECIES
Pt 195.08 Pt.upf
Ru 101.07 Ru.upf
Nb 92.91 Nb.upf
H 1.01 H.upf
CELL_PARAMETERS angstrom
-1.7618 0.9662 3.4737
-3.5974 -0.2108 -1.7659
-0.2354 -3.7718 0.9297
ATOMIC_POSITIONS angstrom
Pt -0.1177 -1.8859 0.4649
Ru -1.7987 -0.1054 -0.8829
Ru -0.8809 0.4831 1.7369
Nb -2.7973 -1.5082 1.3188
H 0.0000 0.0000 0.0000

***

! NbSbH2Pt PBE relaxed; values from VASP
! E_tot, eV per atom: -4.906
&SYSTEM
  ibrav = 0, nat = 5, ntyp = 4
/
ATOMIC_SPECIES
H 1.01 H.upf
Nb 92.91 Nb.upf
Sb 121.76 Sb.upf
Pt 195.08 Pt.upf
CELL_PARAMETERS angstrom
-0.1621 3.4352 1.4189
-5.8948 0.1402 -1.0132
-0.6150 -1.4254 3.3808
ATOMIC_POSITIONS angstrom
H -0.3075 -0.7127 1.6904
H -0.0811 1.7176 0.7094
Nb -2.9474 0.0701 -0.5066
Sb 0.0000 0.0000 0.0000
Pt -3.3360 1.0750 1.8933